# 1
A plane-wave DFT calculation with PBE was carried out for crystalline CaRe4Ru at its relaxed geometry.

V	17.10	Å³ per atom
calculated formation energy	0.439	eV per atom
symmetry	F-43m

Cell lengths 5.255, 5.255, 5.255 Å; angles 60.00, 60.00, 60.00 degrees
Element x y z (fractional)
Re  0.374  0.374  0.877
Re  0.374  0.877  0.374
Re  0.877  0.374  0.374
Re  0.374  0.374  0.374
Ru  0.750  0.750  0.750
Ca  0.000  0.000  0.000

# 2
A plane-wave DFT calculation with PBE was carried out for crystalline TbDy7Tl5 at its relaxed geometry.

V	29.49	Å³ per atom
calculated formation energy	-0.143	eV per atom
symmetry	Imm2

Cell lengths 6.527, 8.330, 8.330 Å; angles 81.09, 66.94, 66.94 degrees
Element x y z (fractional)
Tl  0.007  0.480  0.003
Tl  0.509  0.003  0.480
Tl  0.007  0.003  0.480
Tl  0.740  0.760  0.760
Tl  0.509  0.480  0.003
Dy  0.515  0.794  0.177
Dy  0.999  0.661  0.341
Dy  0.316  0.684  0.684
Dy  0.999  0.341  0.661
Dy  0.515  0.177  0.794
Dy  0.636  0.364  0.364
Dy  0.273  0.227  0.227
Tb  0.975  0.025  0.025

# 3
A plane-wave DFT calculation with PBE was carried out for crystalline BaTlGa at its relaxed geometry.

V	33.72	Å³ per atom
calculated formation energy	-0.294	eV per atom
symmetry	P1

Cell lengths 4.452, 5.165, 9.427 Å; angles 74.19, 76.50, 90.02 degrees
Element x y z (fractional)
Ba  0.709  0.076  0.241
Ba  0.935  0.299  0.793
Ga  0.583  0.448  0.496
Ga  0.153  0.521  0.354
Tl  0.315  0.682  0.024
Tl  0.503  0.869  0.654

Ordered density of states at the Fermi level results: 6.24, 15.85, 1.94; unit states/eV/f.u..
Ordered total DFT energy (no corrections) results: -9.739, -3.887, -2.733; unit eV/atom.